Material: Tl2NiRhO6
Method: DFT, GGA+U
State: optimized geometry

Cell and atoms, written as POSCAR:
```
Tl2NiRhO6
1.0
4.810 -2.772 0.000
4.810 2.772 0.000
-2.987 0.000 4.552
Tl Ni Rh O
2 1 1 6
Direct
0.246 0.246 0.221 Tl
0.754 0.754 0.779 Tl
0.500 0.500 0.000 Ni
0.000 0.000 0.500 Rh
0.176 0.683 0.183 O
0.238 0.238 0.612 O
0.317 0.824 0.817 O
0.683 0.176 0.183 O
0.762 0.762 0.388 O
0.824 0.317 0.817 O
```

SG: C2/m
Total energy: -51.6 eV per cell
Fermi-level density of states: 4.1 states/eV/cell